# 1
{"formula": "TlCoRh2", "functional": "SCAN", "state": "single point on PBEsol structure", "magnetic_moment_mub_per_fu": 3.33, "ef_mev_per_atom": 352, "volume_a3_per_atom": 14.61, "e_tot_ev_per_cell": -155.80, "lattice": [[2.842, 0.000, 0.000], [0.000, 2.842, 0.000], [0.000, 0.000, 7.238]], "species": ["Co", "Rh", "Rh", "Tl"], "fractional_positions": [[0.500, 0.500, 0.776], [0.000, 0.000, 0.985], [0.500, 0.500, 0.229], [0.000, 0.000, 0.510]]}


# 2
{"formula": "CoRhW2", "functional": "SCAN", "state": "single point on PBEsol structure", "magnetic_moment_mub_per_fu": 0.09, "e_above_lowest_polymorph_ev_per_fu": 0.022, "ef_mev_per_atom": 17, "volume_a3_per_atom": 13.61, "e_tot_ev_per_cell": -190.38, "lattice": [[-0.169, 3.587, 1.193], [-2.242, -1.057, 2.859], [4.265, -1.847, 0.157]], "species": ["Rh", "Co", "W", "W"], "fractional_positions": [[0.500, 0.500, 0.000], [0.000, 0.000, 0.000], [0.750, 0.250, 0.500], [0.250, 0.750, 0.500]]}


# 3
{"formula": "CoRhW2", "functional": "SCAN", "state": "single point on PBEsol structure", "magnetic_moment_mub_per_fu": 0.04, "e_above_lowest_polymorph_ev_per_fu": 0.000, "ef_mev_per_atom": 11, "volume_a3_per_atom": 13.57, "e_tot_ev_per_cell": -190.41, "lattice": [[2.684, 0.000, 0.000], [0.000, 2.684, 0.000], [0.000, 0.000, 7.538]], "species": ["Co", "Rh", "W", "W"], "fractional_positions": [[0.500, 0.500, 0.000], [0.500, 0.500, 0.500], [0.000, 0.000, 0.762], [0.000, 0.000, 0.238]]}


# 4
{"formula": "CoRhW2", "functional": "SCAN", "state": "single point on PBEsol structure", "magnetic_moment_mub_per_fu": 0.00, "e_above_lowest_polymorph_ev_per_fu": 0.438, "ef_mev_per_atom": 121, "volume_a3_per_atom": 13.78, "e_tot_ev_per_cell": -189.97, "lattice": [[2.704, 0.000, 0.000], [-1.352, 4.388, -0.004], [0.000, -0.794, 4.645]], "species": ["Co", "Rh", "W", "W"], "fractional_positions": [[0.501, 0.002, 0.521], [0.754, 0.508, 0.241], [0.003, 0.006, 0.024], [0.242, 0.484, 0.714]]}


# 5
{"formula": "CoRhW2", "functional": "SCAN", "state": "single point on PBEsol structure", "magnetic_moment_mub_per_fu": 0.00, "e_above_lowest_polymorph_ev_per_fu": 0.038, "ef_mev_per_atom": 21, "volume_a3_per_atom": 13.61, "e_tot_ev_per_cell": -190.37, "lattice": [[-2.532, 0.550, -0.704], [0.843, -0.742, -3.611], [-1.323, -5.144, 0.748]], "species": ["Rh", "Co", "W", "W"], "fractional_positions": [[0.500, 0.500, 0.500], [0.500, 0.500, 0.000], [0.000, 0.000, 0.758], [0.000, 0.000, 0.242]]}


# 6
{"formula": "Co3RhW", "functional": "SCAN", "state": "single point on PBEsol structure", "magnetic_moment_mub_per_fu": 9.15, "ef_mev_per_atom": 1853, "volume_a3_per_atom": 15.91, "e_tot_ev_per_cell": -146.11, "lattice": [[-3.135, -2.944, 0.019], [2.943, -3.134, -0.109], [0.088, -0.066, 4.299]], "species": ["Co", "Co", "Co", "Rh", "W"], "fractional_positions": [[0.000, 0.500, 0.000], [0.000, 0.000, 0.500], [0.500, 0.000, 0.000], [0.000, 0.000, 0.000], [0.500, 0.500, 0.500]]}


# 7
{"formula": "YCoRh2", "functional": "SCAN", "state": "single point on PBEsol structure", "magnetic_moment_mub_per_fu": 2.11, "ef_mev_per_atom": -206, "volume_a3_per_atom": 15.53, "e_tot_ev_per_cell": -113.52, "lattice": [[-2.013, -1.612, 1.345], [3.027, -1.758, 2.423], [0.197, 4.283, 2.862]], "species": ["Co", "Rh", "Rh", "Y"], "fractional_positions": [[0.000, 0.500, 0.500], [0.845, 0.000, 0.717], [0.155, 0.000, 0.283], [0.500, 0.500, 0.000]]}


# 8
{"formula": "YCoRh3", "functional": "SCAN", "state": "single point on PBEsol structure", "magnetic_moment_mub_per_fu": 3.44, "ef_mev_per_atom": 1535, "volume_a3_per_atom": 20.91, "e_tot_ev_per_cell": -138.79, "lattice": [[-3.326, 1.576, -2.941], [1.775, -2.680, -3.444], [-2.825, -3.540, 1.299]], "species": ["Y", "Co", "Rh", "Rh", "Rh"], "fractional_positions": [[0.000, 0.000, 0.000], [0.500, 0.500, 0.500], [0.000, 0.500, 0.000], [0.000, 0.000, 0.500], [0.500, 0.000, 0.000]]}


# 9
{"formula": "YCo2Rh2", "functional": "SCAN", "state": "single point on PBEsol structure", "magnetic_moment_mub_per_fu": 5.16, "ef_mev_per_atom": -179, "volume_a3_per_atom": 15.90, "e_tot_ev_per_cell": -130.89, "lattice": [[3.850, 0.000, 0.000], [0.000, 3.850, 0.000], [-1.925, -1.925, 5.364]], "species": ["Y", "Co", "Co", "Rh", "Rh"], "fractional_positions": [[0.000, 0.000, 0.000], [0.250, 0.750, 0.500], [0.750, 0.250, 0.500], [0.386, 0.386, 0.771], [0.614, 0.614, 0.229]]}


# 10
{"formula": "Zn2CoRh", "functional": "SCAN", "state": "single point on PBEsol structure", "magnetic_moment_mub_per_fu": 2.16, "ef_mev_per_atom": 17, "volume_a3_per_atom": 12.92, "e_tot_ev_per_cell": -78.04, "lattice": [[2.604, 0.000, 0.000], [-1.161, 2.331, 0.000], [0.000, 0.000, 8.512]], "species": ["Co", "Rh", "Zn", "Zn"], "fractional_positions": [[0.000, 0.000, 0.500], [0.500, 0.500, 0.257], [0.000, 0.000, 0.004], [0.500, 0.500, 0.739]]}


# 11
{"formula": "ZnCoRh2", "functional": "SCAN", "state": "single point on PBEsol structure", "magnetic_moment_mub_per_fu": 1.65, "ef_mev_per_atom": -30, "volume_a3_per_atom": 12.46, "e_tot_ev_per_cell": -98.48, "lattice": [[-3.055, -1.282, 1.527], [-0.129, -2.662, -2.491], [3.634, -0.225, 2.724]], "species": ["Co", "Rh", "Rh", "Zn"], "fractional_positions": [[0.250, 0.750, 0.500], [0.000, 0.000, 0.000], [0.750, 0.250, 0.500], [0.500, 0.500, 0.000]]}


# 12
{"formula": "ZnCoRh2", "functional": "SCAN", "state": "single point on PBEsol structure", "magnetic_moment_mub_per_fu": 2.73, "ef_mev_per_atom": -49, "volume_a3_per_atom": 12.93, "e_tot_ev_per_cell": -98.56, "lattice": [[-1.863, 0.296, 1.797], [2.406, -2.076, 2.837], [2.096, 4.005, 1.153]], "species": ["Co", "Rh", "Rh", "Zn"], "fractional_positions": [[0.000, 0.500, 0.500], [0.756, 0.000, 0.746], [0.244, 0.000, 0.254], [0.500, 0.500, 0.000]]}


# 13
{"formula": "ZnCoRh2", "functional": "SCAN", "state": "single point on PBEsol structure", "magnetic_moment_mub_per_fu": 3.33, "ef_mev_per_atom": -156, "volume_a3_per_atom": 12.69, "e_tot_ev_per_cell": -98.99, "lattice": [[2.721, 0.000, 0.000], [0.000, 2.721, 0.000], [0.000, 0.000, 6.855]], "species": ["Rh", "Rh", "Zn", "Co"], "fractional_positions": [[0.000, 0.000, 0.741], [0.000, 0.000, 0.259], [0.500, 0.500, 0.000], [0.500, 0.500, 0.500]]}


# 14
{"formula": "ZrCo4Rh", "functional": "SCAN", "state": "single point on PBEsol structure", "magnetic_moment_mub_per_fu": 6.96, "ef_mev_per_atom": -249, "volume_a3_per_atom": 12.44, "e_tot_ev_per_cell": -135.18, "lattice": [[-2.127, -0.174, 4.217], [-2.918, -3.572, 1.029], [1.288, -3.266, 3.164]], "species": ["Rh", "Co", "Co", "Co", "Co", "Zr"], "fractional_positions": [[0.250, 0.250, 0.250], [0.624, 0.624, 0.128], [0.128, 0.624, 0.624], [0.624, 0.128, 0.624], [0.624, 0.624, 0.624], [0.000, 0.000, 0.000]]}


# 15
{"formula": "CoRu3", "functional": "SCAN", "state": "single point on PBEsol structure", "magnetic_moment_mub_per_fu": 1.08, "ef_mev_per_atom": 139, "volume_a3_per_atom": 12.54, "e_tot_ev_per_cell": -121.23, "lattice": [[-0.630, -1.335, 2.209], [3.978, -1.055, 0.497], [0.689, 3.764, 2.472]], "species": ["Ru", "Ru", "Ru", "Co"], "fractional_positions": [[0.000, 0.500, 0.324], [0.500, 0.000, 0.502], [0.500, 0.500, 0.843], [0.000, 0.000, 0.998]]}


# 16
{"formula": "CoRu5", "functional": "SCAN", "state": "single point on PBEsol structure", "magnetic_moment_mub_per_fu": 1.22, "ef_mev_per_atom": 89, "volume_a3_per_atom": 12.77, "e_tot_ev_per_cell": -190.90, "lattice": [[2.662, 0.000, 0.000], [0.000, 4.191, 0.000], [-1.331, 0.000, 6.867]], "species": ["Co", "Ru", "Ru", "Ru", "Ru", "Ru"], "fractional_positions": [[0.001, 0.000, 0.001], [0.223, 0.500, 0.445], [0.335, 0.000, 0.669], [0.553, 0.500, 0.106], [0.664, 0.000, 0.329], [0.892, 0.500, 0.783]]}


# 17
{"formula": "CoRu3", "functional": "SCAN", "state": "single point on PBEsol structure", "magnetic_moment_mub_per_fu": 1.93, "ef_mev_per_atom": 204, "volume_a3_per_atom": 12.66, "e_tot_ev_per_cell": -120.97, "lattice": [[-1.958, 1.741, 0.234], [-2.159, -0.624, 1.367], [2.190, 3.434, 7.560]], "species": ["Co", "Ru", "Ru", "Ru"], "fractional_positions": [[0.000, 0.000, 0.000], [0.252, 0.252, 0.244], [0.500, 0.500, 0.500], [0.748, 0.748, 0.756]]}


# 18
{"formula": "CoRu3", "functional": "SCAN", "state": "single point on PBEsol structure", "magnetic_moment_mub_per_fu": 1.52, "ef_mev_per_atom": 117, "volume_a3_per_atom": 12.59, "e_tot_ev_per_cell": -121.31, "lattice": [[2.655, 0.000, 0.000], [-1.327, 2.299, 0.000], [0.000, 0.000, 8.247]], "species": ["Ru", "Ru", "Ru", "Co"], "fractional_positions": [[0.000, 0.000, 0.500], [0.667, 0.333, 0.757], [0.667, 0.333, 0.243], [0.000, 0.000, 0.000]]}


# 19
{"formula": "CoRu3", "functional": "SCAN", "state": "single point on PBEsol structure", "magnetic_moment_mub_per_fu": 1.26, "ef_mev_per_atom": 157, "volume_a3_per_atom": 12.52, "e_tot_ev_per_cell": -121.16, "lattice": [[-1.476, -1.781, 1.302], [0.639, -2.988, -3.365], [3.819, 0.962, 2.940]], "species": ["Ru", "Ru", "Ru", "Co"], "fractional_positions": [[0.253, 0.919, 0.507], [0.500, 0.506, 0.000], [0.747, 0.412, 0.493], [0.000, 0.997, 0.000]]}


# 20
{"formula": "CoRu3", "functional": "SCAN", "state": "single point on PBEsol structure", "magnetic_moment_mub_per_fu": 0.00, "ef_mev_per_atom": 140, "volume_a3_per_atom": 12.46, "e_tot_ev_per_cell": -242.44, "lattice": [[-0.737, 0.872, -3.992], [4.390, -0.800, -0.985], [-1.123, -5.053, -0.897]], "species": ["Co", "Co", "Ru", "Ru", "Ru", "Ru", "Ru", "Ru"], "fractional_positions": [[0.000, 0.663, 0.000], [0.500, 0.337, 0.500], [0.500, 0.342, 0.000], [0.000, 0.171, 0.748], [0.500, 0.829, 0.752], [0.000, 0.658, 0.500], [0.000, 0.171, 0.252], [0.500, 0.829, 0.248]]}